Arrangement A

Computed, not measured: Be3FePd after structural relaxation at the PBE level of DFT.

magnetic moment: 3.0 μB per cell
density: 4.460 g cm⁻³

Lattice parameters (Å, degrees): 4.1306 4.1306 4.1306 90.00 90.00 90.00
Atoms (fractional coordinates):
1 Be 0.0000 0.0000 0.5000
2 Be 0.0000 0.5000 0.0000
3 Be 0.5000 0.0000 0.0000
4 Fe 0.5000 0.5000 0.5000
5 Pd 0.0000 0.0000 0.0000

---

Arrangement B

Computed, not measured: Be3FePd after structural relaxation at the PBE level of DFT.

magnetic moment: 0.0 μB per cell
density: 5.426 g cm⁻³

Lattice parameters (Å, degrees): 3.8694 3.8694 3.8694 90.00 90.00 90.00
Atoms (fractional coordinates):
1 Be 0.0000 0.0000 0.5000
2 Be 0.0000 0.5000 0.0000
3 Be 0.5000 0.0000 0.0000
4 Fe 0.0000 0.0000 0.0000
5 Pd 0.5000 0.5000 0.5000

---

Quick one: most stable of them? arrangement B

---

Arrangement A

Computed, not measured: Be2FePt2 after structural relaxation at the PBE level of DFT.

magnetic moment: 6.1 μB per cell
density: 12.869 g cm⁻³

Lattice parameters (Å, degrees): 6.6458 6.6458 2.7113 90.00 90.00 90.00
Atoms (fractional coordinates):
1 Be 0.1256 0.3744 0.0000
2 Be 0.3744 0.8744 0.0000
3 Be 0.6256 0.1256 0.0000
4 Be 0.8744 0.6256 0.0000
5 Fe 0.0000 0.0000 0.0000
6 Fe 0.5000 0.5000 0.0000
7 Pt 0.1697 0.6697 0.5000
8 Pt 0.3303 0.1697 0.5000
9 Pt 0.6697 0.8303 0.5000
10 Pt 0.8303 0.3303 0.5000

---

Arrangement B

Computed, not measured: Be2FePt2 after structural relaxation at the PBE level of DFT.

magnetic moment: 0.0 μB per cell
density: 12.548 g cm⁻³

Lattice parameters (Å, degrees): 6.5999 6.5999 6.5999 152.44 152.44 39.36
Atoms (fractional coordinates):
1 Be 0.2500 0.7500 0.5000
2 Be 0.7500 0.2500 0.5000
3 Fe 0.0000 0.0000 0.0000
4 Pt 0.3879 0.3879 0.0000
5 Pt 0.6121 0.6121 0.0000

---

Quick one: most stable of them? arrangement A

---

Arrangement A

Computed, not measured: BeFePt after structural relaxation at the PBE level of DFT.

magnetic moment: 3.0 μB per cell
density: 11.093 g cm⁻³

Lattice parameters (Å, degrees): 3.8036 3.8036 3.8036 60.00 60.00 60.00
Atoms (fractional coordinates):
1 Be 0.0000 0.0000 0.0000
2 Fe 0.7500 0.7500 0.7500
3 Pt 0.2500 0.2500 0.2500

---

Arrangement B

Computed, not measured: BeFePt after structural relaxation at the PBE level of DFT.

magnetic moment: 5.4 μB per cell
density: 11.806 g cm⁻³

Lattice parameters (Å, degrees): 4.3868 4.4162 4.5469 73.45 75.49 60.91
Atoms (fractional coordinates):
1 Be 0.0000 0.0000 0.0000
2 Be 0.3286 0.3464 0.9459
3 Fe 0.4167 0.8818 0.4849
4 Fe 0.7687 0.1816 0.5347
5 Pt 0.1140 0.5449 0.4196
6 Pt 0.6806 0.6356 0.9836

---

Quick one: most stable of them? arrangement B

---

Arrangement A

Computed, not measured: Be3FePt after structural relaxation at the PBE level of DFT.

magnetic moment: 0.0 μB per cell
density: 8.124 g cm⁻³

Lattice parameters (Å, degrees): 3.8443 3.8443 3.8443 90.00 90.00 90.00
Atoms (fractional coordinates):
1 Be 0.0000 0.0000 0.5000
2 Be 0.0000 0.5000 0.0000
3 Be 0.5000 0.0000 0.0000
4 Fe 0.0000 0.0000 0.0000
5 Pt 0.5000 0.5000 0.5000

---

Arrangement B

Computed, not measured: Be3FePt after structural relaxation at the PBE level of DFT.

magnetic moment: 3.0 μB per cell
density: 6.300 g cm⁻³

Lattice parameters (Å, degrees): 4.1844 4.1844 4.1844 90.00 90.00 90.00
Atoms (fractional coordinates):
1 Be 0.0000 0.0000 0.5000
2 Be 0.0000 0.5000 0.0000
3 Be 0.5000 0.0000 0.0000
4 Fe 0.5000 0.5000 0.5000
5 Pt 0.0000 0.0000 0.0000

---

Quick one: most stable of them? arrangement B

---

Arrangement A

Computed, not measured: BeFePt3 after structural relaxation at the PBE level of DFT.

magnetic moment: 3.8 μB per cell
density: 11.343 g cm⁻³

Lattice parameters (Å, degrees): 4.5656 4.5656 4.5656 90.00 90.00 90.00
Atoms (fractional coordinates):
1 Be 0.0000 0.0000 0.0000
2 Fe 0.5000 0.5000 0.5000
3 Pt 0.0000 0.5000 0.5000
4 Pt 0.5000 0.0000 0.5000
5 Pt 0.5000 0.5000 0.0000

---

Arrangement B

Computed, not measured: BeFePt3 after structural relaxation at the PBE level of DFT.

magnetic moment: 4.0 μB per cell
density: 14.531 g cm⁻³

Lattice parameters (Å, degrees): 4.2039 4.2039 4.2039 90.00 90.00 90.00
Atoms (fractional coordinates):
1 Be 0.0000 0.0000 0.0000
2 Fe 0.5000 0.5000 0.5000
3 Pt 0.0000 0.0000 0.5000
4 Pt 0.0000 0.5000 0.0000
5 Pt 0.5000 0.0000 0.0000

---

Quick one: most stable of them? arrangement B

---

Arrangement A

Computed, not measured: PuBeFe2 after structural relaxation at the PBE level of DFT.

magnetic moment: 2.2 μB per cell
density: 11.534 g cm⁻³

Lattice parameters (Å, degrees): 3.9163 3.9163 3.4235 90.00 90.00 90.00
Atoms (fractional coordinates):
1 Pu 0.0000 0.0000 0.0000
2 Be 0.5000 0.5000 0.0000
3 Fe 0.0000 0.5000 0.5000
4 Fe 0.5000 0.0000 0.5000

---

Arrangement B

Computed, not measured: PuBeFe2 after structural relaxation at the PBE level of DFT.

magnetic moment: 6.8 μB per cell
density: 11.739 g cm⁻³

Lattice parameters (Å, degrees): 2.8151 2.8151 6.5099 90.00 90.00 90.00
Atoms (fractional coordinates):
1 Pu 0.0000 0.0000 0.0000
2 Be 0.0000 0.0000 0.5000
3 Fe 0.5000 0.5000 0.3270
4 Fe 0.5000 0.5000 0.6730

---

Arrangement C

Computed, not measured: PuBeFe2 after structural relaxation at the PBE level of DFT.

magnetic moment: 2.7 μB per cell
density: 11.479 g cm⁻³

Lattice parameters (Å, degrees): 4.2099 4.2099 4.2099 60.00 60.00 60.00
Atoms (fractional coordinates):
1 Pu 0.0000 0.0000 0.0000
2 Be 0.5000 0.5000 0.5000
3 Fe 0.2500 0.2500 0.2500
4 Fe 0.7500 0.7500 0.7500

---

Quick one: most stable of them? arrangement C

---

Arrangement A

Computed, not measured: RbBe2Fe after structural relaxation at the PBE level of DFT.

magnetic moment: 4.3 μB per cell
density: 2.983 g cm⁻³

Lattice parameters (Å, degrees): 8.4129 8.4129 8.4129 146.85 146.85 47.59
Atoms (fractional coordinates):
1 Rb 0.3750 0.6250 0.7500
2 Rb 0.6250 0.3750 0.2500
3 Be 0.0000 0.0000 0.0000
4 Be 0.0000 0.0000 0.5000
5 Be 0.0000 0.5000 0.0000
6 Be 0.5000 0.0000 0.5000
7 Fe 0.1250 0.8750 0.2500
8 Fe 0.8750 0.1250 0.7500

---

Arrangement B

Computed, not measured: RbBe2Fe after structural relaxation at the PBE level of DFT.

magnetic moment: 0.0 μB per cell
density: 3.858 g cm⁻³

Lattice parameters (Å, degrees): 4.5947 4.5947 4.5947 60.00 60.00 60.00
Atoms (fractional coordinates):
1 Rb 0.0000 0.0000 0.0000
2 Be 0.2500 0.2500 0.2500
3 Be 0.7500 0.7500 0.7500
4 Fe 0.5000 0.5000 0.5000

---

Quick one: most stable of them? arrangement A

---

Arrangement A

Computed, not measured: BeFeRe after structural relaxation at the PBE level of DFT.

magnetic moment: 0.6 μB per cell
density: 10.743 g cm⁻³

Lattice parameters (Å, degrees): 3.8002 3.8002 3.8002 60.00 60.00 60.00
Atoms (fractional coordinates):
1 Be 0.0000 0.0000 0.0000
2 Fe 0.2500 0.2500 0.2500
3 Re 0.5000 0.5000 0.5000

---

Arrangement B

Computed, not measured: BeFeRe after structural relaxation at the PBE level of DFT.

magnetic moment: 0.0 μB per cell
density: 12.438 g cm⁻³

Lattice parameters (Å, degrees): 3.8427 3.8427 2.6210 90.00 90.00 120.00
Atoms (fractional coordinates):
1 Be 0.0000 0.0000 0.0000
2 Fe 0.6667 0.3333 0.0000
3 Re 0.3333 0.6667 0.5000

---

Quick one: most stable of them? arrangement B

---

Arrangement A

Computed, not measured: BeFeRe after structural relaxation at the PBE level of DFT.

magnetic moment: 5.1 μB per cell
density: 12.275 g cm⁻³

Lattice parameters (Å, degrees): 6.4514 2.5691 8.1966 90.00 90.00 90.00
Atoms (fractional coordinates):
1 Be 0.1688 0.2500 0.1730
2 Be 0.3312 0.7500 0.6730
3 Be 0.6688 0.2500 0.3270
4 Be 0.8312 0.7500 0.8270
5 Fe 0.0317 0.2500 0.6382
6 Fe 0.4683 0.7500 0.1382
7 Fe 0.5317 0.2500 0.8618
8 Fe 0.9683 0.7500 0.3618
9 Re 0.1777 0.7500 0.9228
10 Re 0.3223 0.2500 0.4228
11 Re 0.6777 0.7500 0.5772
12 Re 0.8223 0.2500 0.0772

---

Arrangement B

Computed, not measured: BeFeRe after structural relaxation at the PBE level of DFT.

magnetic moment: 0.0 μB per cell
density: 12.667 g cm⁻³

Lattice parameters (Å, degrees): 4.7823 4.7823 4.7823 146.66 146.66 47.87
Atoms (fractional coordinates):
1 Be 0.0000 0.0000 0.0000
2 Fe 0.6375 0.6375 0.0000
3 Re 0.3186 0.3186 0.0000

---

Quick one: most stable of them? arrangement B

---

Arrangement A

Computed, not measured: BeFe3Re after structural relaxation at the PBE level of DFT.

magnetic moment: 0.0 μB per cell
density: 11.050 g cm⁻³

Lattice parameters (Å, degrees): 3.7917 3.7917 3.7917 90.00 90.00 90.00
Atoms (fractional coordinates):
1 Be 0.0000 0.0000 0.0000
2 Fe 0.0000 0.0000 0.5000
3 Fe 0.0000 0.5000 0.0000
4 Fe 0.5000 0.0000 0.0000
5 Re 0.5000 0.5000 0.5000

---

Arrangement B

Computed, not measured: BeFe3Re after structural relaxation at the PBE level of DFT.

magnetic moment: 4.7 μB per cell
density: 6.845 g cm⁻³

Lattice parameters (Å, degrees): 4.4481 4.4481 4.4481 90.00 90.00 90.00
Atoms (fractional coordinates):
1 Be 0.0000 0.0000 0.0000
2 Fe 0.0000 0.5000 0.5000
3 Fe 0.5000 0.0000 0.5000
4 Fe 0.5000 0.5000 0.0000
5 Re 0.5000 0.5000 0.5000

---

Quick one: most stable of them? arrangement A

---

Arrangement A

Computed, not measured: BeFe3Rh after structural relaxation at the PBE level of DFT.

magnetic moment: 9.9 μB per cell
density: 4.859 g cm⁻³

Lattice parameters (Å, degrees): 4.5709 4.5709 4.5709 90.00 90.00 90.00
Atoms (fractional coordinates):
1 Be 0.0000 0.0000 0.0000
2 Fe 0.0000 0.5000 0.5000
3 Fe 0.5000 0.0000 0.5000
4 Fe 0.5000 0.5000 0.0000
5 Rh 0.5000 0.5000 0.5000

---

Arrangement B

Computed, not measured: BeFe3Rh after structural relaxation at the PBE level of DFT.

magnetic moment: 0.0 μB per cell
density: 8.379 g cm⁻³

Lattice parameters (Å, degrees): 3.8117 3.8117 3.8117 90.00 90.00 90.00
Atoms (fractional coordinates):
1 Be 0.0000 0.0000 0.0000
2 Fe 0.0000 0.0000 0.5000
3 Fe 0.0000 0.5000 0.0000
4 Fe 0.5000 0.0000 0.0000
5 Rh 0.5000 0.5000 0.5000

---

Quick one: most stable of them? arrangement B

---

Arrangement A

Computed, not measured: BeFeRh3 after structural relaxation at the PBE level of DFT.

magnetic moment: 0.0 μB per cell
density: 7.310 g cm⁻³

Lattice parameters (Å, degrees): 4.3944 4.3944 4.3944 90.00 90.00 90.00
Atoms (fractional coordinates):
1 Be 0.0000 0.0000 0.0000
2 Fe 0.5000 0.5000 0.5000
3 Rh 0.0000 0.5000 0.5000
4 Rh 0.5000 0.0000 0.5000
5 Rh 0.5000 0.5000 0.0000

---

Arrangement B

Computed, not measured: BeFeRh3 after structural relaxation at the PBE level of DFT.

magnetic moment: 0.1 μB per cell
density: 9.331 g cm⁻³

Lattice parameters (Å, degrees): 4.0510 4.0510 4.0510 90.00 90.00 90.00
Atoms (fractional coordinates):
1 Be 0.0000 0.0000 0.0000
2 Fe 0.5000 0.5000 0.5000
3 Rh 0.0000 0.0000 0.5000
4 Rh 0.0000 0.5000 0.0000
5 Rh 0.5000 0.0000 0.0000

---

Quick one: most stable of them? arrangement B

---

Arrangement A

Computed, not measured: Be3FeRh after structural relaxation at the PBE level of DFT.

magnetic moment: 2.9 μB per cell
density: 4.553 g cm⁻³

Lattice parameters (Å, degrees): 4.0767 4.0767 4.0767 90.00 90.00 90.00
Atoms (fractional coordinates):
1 Be 0.0000 0.0000 0.5000
2 Be 0.0000 0.5000 0.0000
3 Be 0.5000 0.0000 0.0000
4 Fe 0.5000 0.5000 0.5000
5 Rh 0.0000 0.0000 0.0000

---

Arrangement B

Computed, not measured: Be3FeRh after structural relaxation at the PBE level of DFT.

magnetic moment: 0.8 μB per cell
density: 5.544 g cm⁻³

Lattice parameters (Å, degrees): 3.8179 3.8179 3.8179 90.00 90.00 90.00
Atoms (fractional coordinates):
1 Be 0.0000 0.0000 0.5000
2 Be 0.0000 0.5000 0.0000
3 Be 0.5000 0.0000 0.0000
4 Fe 0.0000 0.0000 0.0000
5 Rh 0.5000 0.5000 0.5000

---

Quick one: most stable of them? arrangement A

---

Arrangement A

Computed, not measured: BeFeRu after structural relaxation at the PBE level of DFT.

magnetic moment: 0.4 μB per cell
density: 8.184 g cm⁻³

Lattice parameters (Å, degrees): 4.0365 6.3304 6.3304 24.60 90.00 90.00
Atoms (fractional coordinates):
1 Be 0.0000 0.0000 0.0000
2 Be 0.5000 0.2159 0.2159
3 Fe 0.0000 0.3345 0.3345
4 Fe 0.5000 0.5544 0.5544
5 Ru 0.0000 0.6676 0.6676
6 Ru 0.5000 0.8853 0.8853

---

Arrangement B

Computed, not measured: BeFeRu after structural relaxation at the PBE level of DFT.

magnetic moment: 0.0 μB per cell
density: 8.437 g cm⁻³

Lattice parameters (Å, degrees): 3.8193 3.8193 2.5853 90.00 90.00 120.00
Atoms (fractional coordinates):
1 Be 0.0000 0.0000 0.0000
2 Fe 0.6667 0.3333 0.9952
3 Ru 0.3333 0.6667 0.4966

---

Quick one: most stable of them? arrangement A